Below is La2Th2N5 after structural relaxation, with properties calculated at the PBE level.

```
18
Lattice="-0.807 -6.486 -2.342 -0.593 -2.254 6.447 -5.796 1.979 -3.486" Properties=species:S:1:pos:R:3 pbc="T T T"
La -1.033 -6.198 3.856
La -0.366 -2.542 0.250
La -0.524 -2.554 3.876
La -0.875 -6.187 0.229
Th -2.457 0.344 -0.106
Th -3.157 -4.026 1.947
Th -3.931 -0.619 3.067
Th -4.038 -2.734 -1.327
N 0.000 0.000 0.000
N -0.700 -4.370 2.053
N -2.862 -6.799 2.232
N -2.091 -1.444 1.721
N -2.555 -3.925 4.456
N -2.397 -4.318 -0.503
N -4.333 0.039 -1.612
N -5.105 -5.317 -1.101
N -4.640 -2.836 -3.836
N -4.798 -2.442 1.123
```

## Properties
Raw total energy ... -8.60 eV per atom
DOS at the Fermi energy ... 15.507 states/eV/cell
Space group ... Cmce
Formation energy without anion corrections ... -1.235 eV/atom